No. 1
# LiSc2Sb2 meta-GGA SCAN single point on PBEsol structure
data_LiSc2Sb2
_cell_length_a 7.6557
_cell_length_b 7.6557
_cell_length_c 3.8620
_cell_angle_alpha 90.00
_cell_angle_beta 90.00
_cell_angle_gamma 90.00
_space_group_name_H-M_alt 'P 4/m b m'
_space_group_IT_number 127
_space_group_name_Hall '-P 4 2ab'
loop_
_atom_site_label
_atom_site_type_symbol
_atom_site_fract_x
_atom_site_fract_y
_atom_site_fract_z
Li1 Li 0.0000 0.0000 0.0000
Sc1 Sc 0.1485 0.3515 0.5000
Sb1 Sb 0.1563 0.6563 0.0000
# total DFT energy (no corrections) = -21.84 eV/atom

---

No. 2
# Li3SbSe meta-GGA SCAN single point on PBEsol structure
data_Li3SbSe
_cell_length_a 4.7411
_cell_length_b 4.7411
_cell_length_c 4.7411
_cell_angle_alpha 90.00
_cell_angle_beta 90.00
_cell_angle_gamma 90.00
_space_group_name_H-M_alt 'P m -3 m'
_space_group_IT_number 221
_space_group_name_Hall '-P 4 2 3'
loop_
_atom_site_label
_atom_site_type_symbol
_atom_site_fract_x
_atom_site_fract_y
_atom_site_fract_z
Li1 Li 0.0000 0.0000 0.5000
Sb1 Sb 0.5000 0.5000 0.5000
Se1 Se 0.0000 0.0000 0.0000
# total DFT energy (no corrections) = -13.51 eV/atom

---

No. 3
# Li2SbSe meta-GGA SCAN single point on PBEsol structure
data_Li2SbSe
_cell_length_a 3.5984
_cell_length_b 5.0190
_cell_length_c 8.5052
_cell_angle_alpha 90.00
_cell_angle_beta 90.00
_cell_angle_gamma 90.00
_space_group_name_H-M_alt 'I m m m'
_space_group_IT_number 71
_space_group_name_Hall '-I 2 2'
loop_
_atom_site_label
_atom_site_type_symbol
_atom_site_fract_x
_atom_site_fract_y
_atom_site_fract_z
Li1 Li 0.0000 0.0000 0.2201
Sb1 Sb 0.0000 0.5000 0.0000
Se1 Se 0.0000 0.5000 0.5000
# ΔE to the lowest computed polymorph = 0.00 eV/f.u.

---

No. 4
# Li2SbSe meta-GGA SCAN single point on PBEsol structure
data_Li2SbSe
_cell_length_a 6.9244
_cell_length_b 6.9244
_cell_length_c 6.9244
_cell_angle_alpha 90.00
_cell_angle_beta 90.00
_cell_angle_gamma 90.00
_space_group_name_H-M_alt 'F -4 3 m'
_space_group_IT_number 216
_space_group_name_Hall 'F -4 2 3'
loop_
_atom_site_label
_atom_site_type_symbol
_atom_site_fract_x
_atom_site_fract_y
_atom_site_fract_z
Li1 Li 0.0000 0.0000 0.0000
Li2 Li 0.2500 0.2500 0.2500
Sb1 Sb 0.2500 0.2500 0.7500
Se1 Se 0.0000 0.0000 0.5000
# ΔE to the lowest computed polymorph = 1.64 eV/f.u.